--- 1 ---
Here is CaCu2Ir after structural relaxation from the Alexandria database. Energies are from GGA-PBE.

Lattice parameters (Å, degrees): 4.3240 4.3240 17.3985 90.00 90.00 90.00
Space group I-42d (No. 122)
One atom of each set of equivalent atoms:
Ca1 0.0000 0.0000 0.0000 (multiplicity 4)
Cu1 0.1019 0.2500 0.6250 (multiplicity 8)
Ir1 0.0000 0.0000 0.5000 (multiplicity 4)

Values from the calculation:
N(E_F)   1.40 states/eV/f.u.


--- 2 ---
Here is CaCu2Ir after structural relaxation from the Alexandria database. Energies are from GGA-PBE.

Lattice parameters (Å, degrees): 6.3479 6.3479 6.3479 90.00 90.00 90.00
Space group Fm-3m (No. 225)
One atom of each set of equivalent atoms:
Ca1 0.0000 0.0000 0.0000 (multiplicity 4)
Cu1 0.2500 0.2500 0.2500 (multiplicity 8)
Ir1 0.0000 0.0000 0.5000 (multiplicity 4)

Values from the calculation:
N(E_F)   2.53 states/eV/f.u.


Which one sits at the bottom of the stability order? 1 does.


--- 1 ---
Here is CaCu2Ir after structural relaxation from the Alexandria database. Energies are from GGA-PBE.

Lattice parameters (Å, degrees): 7.3828 4.2584 5.3616 90.00 117.45 90.00
Space group C2/m (No. 12)
One atom of each set of equivalent atoms:
Ca1 0.0000 0.0000 0.0000 (multiplicity 2)
Cu1 0.1971 0.0000 0.5909 (multiplicity 4)
Ir1 0.0000 0.5000 0.5000 (multiplicity 2)

Values from the calculation:
N(E_F)   1.62 states/eV/f.u.


--- 2 ---
Here is CaCu2Ir after structural relaxation from the Alexandria database. Energies are from GGA-PBE.

Lattice parameters (Å, degrees): 2.9020 3.8216 5.9203 90.00 90.21 90.00
Space group P2/m (No. 10)
One atom of each set of equivalent atoms:
Ca1 0.0000 0.0000 0.0000 (multiplicity 1)
Cu1 0.4999 0.5000 0.3014 (multiplicity 2)
Ir1 0.0000 0.0000 0.5000 (multiplicity 1)

Values from the calculation:
N(E_F)   2.96 states/eV/f.u.


--- 3 ---
Here is CaCu2Ir after structural relaxation from the Alexandria database. Energies are from GGA-PBE.

Lattice parameters (Å, degrees): 2.9633 4.1948 5.4459 90.00 105.71 90.00
Space group Pm (No. 6)
One atom of each set of equivalent atoms:
Ca1 0.0000 0.0000 0.0000 (multiplicity 1)
Cu1 0.6241 0.5000 0.2484 (multiplicity 1)
Cu2 0.7449 0.0000 0.5021 (multiplicity 1)
Ir1 0.3261 0.5000 0.6594 (multiplicity 1)

Values from the calculation:
N(E_F)   3.58 states/eV/f.u.


--- 4 ---
Here is CaCu2Ir after structural relaxation from the Alexandria database. Energies are from GGA-PBE.

Lattice parameters (Å, degrees): 2.8614 2.8614 27.2022 90.00 90.00 120.00
Space group R-3m (No. 166, hexagonal axes)
One atom of each set of equivalent atoms:
Ca1 0.0000 0.0000 0.0000 (multiplicity 3)
Cu1 0.0000 0.0000 0.2431 (multiplicity 6)
Ir1 0.0000 0.0000 0.5000 (multiplicity 3)

Values from the calculation:
N(E_F)   4.94 states/eV/f.u.


Which one sits at the bottom of the stability order? 4 does.


--- 1 ---
Here is CaCu2Ir after structural relaxation from the Alexandria database. Energies are from GGA-PBE.

Lattice parameters (Å, degrees): 3.2338 4.4866 5.1274 113.33 108.29 90.07
Space group P1 (No. 1)
One atom of each set of equivalent atoms:
Ca1 0.0000 0.0000 0.0000 (multiplicity 1)
Cu1 0.2301 0.7488 0.4611 (multiplicity 1)
Cu2 0.5081 0.4997 0.0161 (multiplicity 1)
Ir1 0.7712 0.3052 0.5435 (multiplicity 1)

Values from the calculation:
N(E_F)   1.98 states/eV/f.u.


--- 2 ---
Here is CaCu2Ir after structural relaxation from the Alexandria database. Energies are from GGA-PBE.

Lattice parameters (Å, degrees): 4.2790 4.2790 3.4464 90.00 90.00 90.00
Space group P4/mmm (No. 123)
One atom of each set of equivalent atoms:
Ca1 0.0000 0.0000 0.0000 (multiplicity 1)
Cu1 0.0000 0.5000 0.5000 (multiplicity 2)
Ir1 0.5000 0.5000 0.0000 (multiplicity 1)

Values from the calculation:
N(E_F)   0.74 states/eV/f.u.


Which one sits at the bottom of the stability order? 1 does.


--- 1 ---
Here is CaCu2Ir2 after structural relaxation from the Alexandria database. Energies are from GGA-PBE.

Lattice parameters (Å, degrees): 7.4929 7.4929 2.8159 90.00 90.00 90.00
Space group P4/mbm (No. 127)
One atom of each set of equivalent atoms:
Ca1 0.0000 0.0000 0.0000 (multiplicity 2)
Cu1 0.1732 0.3268 0.5000 (multiplicity 4)
Ir1 0.1235 0.6235 0.0000 (multiplicity 4)

Values from the calculation:
N(E_F)   5.50 states/eV/f.u.


--- 2 ---
Here is CaCu2Ir2 after structural relaxation from the Alexandria database. Energies are from GGA-PBE.

Lattice parameters (Å, degrees): 4.3109 4.3109 9.6431 90.00 90.00 90.00
Space group I4/mmm (No. 139)
One atom of each set of equivalent atoms:
Ca1 0.0000 0.0000 0.0000 (multiplicity 2)
Cu1 0.0000 0.5000 0.2500 (multiplicity 4)
Ir1 0.0000 0.0000 0.3775 (multiplicity 4)

Values from the calculation:
N(E_F)   4.56 states/eV/f.u.


--- 3 ---
Here is CaCu2Ir2 after structural relaxation from the Alexandria database. Energies are from GGA-PBE.

Lattice parameters (Å, degrees): 3.8580 3.8580 11.3778 90.00 90.00 90.00
Space group I4/mmm (No. 139)
One atom of each set of equivalent atoms:
Ca1 0.0000 0.0000 0.0000 (multiplicity 2)
Cu1 0.0000 0.0000 0.3957 (multiplicity 4)
Ir1 0.0000 0.5000 0.2500 (multiplicity 4)

Values from the calculation:
N(E_F)   6.81 states/eV/f.u.


Which one sits at the bottom of the stability order? 3 does.


--- 1 ---
Here is CaCuIr after structural relaxation from the Alexandria database. Energies are from GGA-PBE.

Lattice parameters (Å, degrees): 6.1942 6.1942 6.1942 90.00 90.00 90.00
Space group F-43m (No. 216)
One atom of each set of equivalent atoms:
Ca1 0.0000 0.0000 0.0000 (multiplicity 4)
Cu1 0.2500 0.2500 0.2500 (multiplicity 4)
Ir1 0.0000 0.0000 0.5000 (multiplicity 4)

Values from the calculation:
N(E_F)   3.78 states/eV/f.u.


--- 2 ---
Here is CaCuIr after structural relaxation from the Alexandria database. Energies are from GGA-PBE.

Lattice parameters (Å, degrees): 4.1617 4.1617 4.0211 90.00 90.00 120.00
Space group P-6m2 (No. 187)
One atom of each set of equivalent atoms:
Ca1 0.0000 0.0000 0.0000 (multiplicity 1)
Cu1 0.6667 0.3333 0.5000 (multiplicity 1)
Ir1 0.3333 0.6667 0.5000 (multiplicity 1)

Values from the calculation:
N(E_F)   2.41 states/eV/f.u.


--- 3 ---
Here is CaCuIr after structural relaxation from the Alexandria database. Energies are from GGA-PBE.

Lattice parameters (Å, degrees): 5.2585 5.3135 7.5261 90.00 90.00 90.00
Space group Imma (No. 74)
One atom of each set of equivalent atoms:
Ca1 0.0000 0.2500 0.1302 (multiplicity 4)
Cu1 0.2500 0.2500 0.7500 (multiplicity 4)
Ir1 0.0000 0.0000 0.5000 (multiplicity 4)

Values from the calculation:
N(E_F)   2.55 states/eV/f.u.


--- 4 ---
Here is CaCuIr after structural relaxation from the Alexandria database. Energies are from GGA-PBE.

Lattice parameters (Å, degrees): 3.3590 3.3719 9.8448 90.00 90.00 90.00
Space group Imm2 (No. 44)
One atom of each set of equivalent atoms:
Ca1 0.0000 0.0000 0.0000 (multiplicity 2)
Cu1 0.0000 0.0000 0.2864 (multiplicity 2)
Ir1 0.0000 0.0000 0.7024 (multiplicity 2)

Values from the calculation:
N(E_F)   1.38 states/eV/f.u.


Which one sits at the bottom of the stability order? 1 does.


--- 1 ---
Here is CaCuIr after structural relaxation from the Alexandria database. Energies are from GGA-PBE.

Lattice parameters (Å, degrees): 5.3049 5.3049 39.5744 90.00 90.00 120.00
Space group R-3m (No. 166, hexagonal axes)
One atom of each set of equivalent atoms:
Ca1 0.0000 0.0000 0.0405 (multiplicity 6)
Ca2 0.0000 0.0000 0.1805 (multiplicity 6)
Ca3 0.0000 0.0000 0.2665 (multiplicity 6)
Cu1 0.0026 0.5013 0.2222 (multiplicity 18)
Ir1 0.0000 0.0000 0.3895 (multiplicity 6)
Ir2 0.0000 0.0000 0.5000 (multiplicity 3)
Ir3 0.0000 0.5000 0.0000 (multiplicity 9)

Values from the calculation:
N(E_F)   1.85 states/eV/f.u.


--- 2 ---
Here is CaCuIr after structural relaxation from the Alexandria database. Energies are from GGA-PBE.

Lattice parameters (Å, degrees): 6.3470 6.3470 6.3470 90.00 90.00 90.00
Space group F-43m (No. 216)
One atom of each set of equivalent atoms:
Ca1 0.0000 0.0000 0.0000 (multiplicity 4)
Cu1 0.2500 0.2500 0.7500 (multiplicity 4)
Ir1 0.2500 0.2500 0.2500 (multiplicity 4)

Values from the calculation:
N(E_F)   3.76 states/eV/f.u.


--- 3 ---
Here is CaCuIr after structural relaxation from the Alexandria database. Energies are from GGA-PBE.

Lattice parameters (Å, degrees): 3.0134 3.0134 6.7342 90.00 90.00 120.00
Space group P3m1 (No. 156)
One atom of each set of equivalent atoms:
Ca1 0.0000 0.0000 0.0000 (multiplicity 1)
Cu1 0.6667 0.3333 0.3696 (multiplicity 1)
Ir1 0.3333 0.6667 0.6673 (multiplicity 1)

Values from the calculation:
N(E_F)   2.34 states/eV/f.u.


Which one sits at the bottom of the stability order? 2 does.


--- 1 ---
Here is KCaCuIr2 after structural relaxation from the Alexandria database. Energies are from GGA-PBE.

Lattice parameters (Å, degrees): 4.7326 4.7326 5.0403 90.00 90.00 90.00
Space group P4/mmm (No. 123)
One atom of each set of equivalent atoms:
K1 0.0000 0.0000 0.0000 (multiplicity 1)
Ca1 0.5000 0.5000 0.0000 (multiplicity 1)
Cu1 0.0000 0.0000 0.5000 (multiplicity 1)
Ir1 0.0000 0.5000 0.5000 (multiplicity 2)

Values from the calculation:
N(E_F)   5.31 states/eV/f.u.


--- 2 ---
Here is KCaCuIr2 after structural relaxation from the Alexandria database. Energies are from GGA-PBE.

Lattice parameters (Å, degrees): 4.7399 4.7399 5.0661 90.00 90.00 90.00
Space group P4/mmm (No. 123)
One atom of each set of equivalent atoms:
K1 0.0000 0.0000 0.0000 (multiplicity 1)
Ca1 0.5000 0.5000 0.0000 (multiplicity 1)
Cu1 0.5000 0.5000 0.5000 (multiplicity 1)
Ir1 0.0000 0.5000 0.5000 (multiplicity 2)

Values from the calculation:
N(E_F)   3.80 states/eV/f.u.


Which one sits at the bottom of the stability order? 1 does.


--- 1 ---
Here is CaLaCuIr after structural relaxation from the Alexandria database. Energies are from GGA-PBE.

Lattice parameters (Å, degrees): 4.7107 4.7107 5.1768 90.00 90.00 120.00
Space group P3m1 (No. 156)
One atom of each set of equivalent atoms:
Ca1 0.0000 0.0000 0.0000 (multiplicity 1)
La1 0.3333 0.6667 0.4580 (multiplicity 1)
Cu1 0.6667 0.3333 0.7543 (multiplicity 1)
Ir1 0.6667 0.3333 0.2499 (multiplicity 1)

Values from the calculation:
N(E_F)   2.74 states/eV/f.u.


--- 2 ---
Here is CaLaCuIr after structural relaxation from the Alexandria database. Energies are from GGA-PBE.

Lattice parameters (Å, degrees): 4.6064 4.1132 10.1786 90.00 90.00 90.00
Space group Amm2 (No. 38)
One atom of each set of equivalent atoms:
Ca1 0.0000 0.0000 0.0000 (multiplicity 2)
La1 0.5000 0.0000 0.2818 (multiplicity 2)
Cu1 0.0000 0.0000 0.7016 (multiplicity 2)
Ir1 0.5000 0.0000 0.5819 (multiplicity 2)

Values from the calculation:
N(E_F)   2.73 states/eV/f.u.


Which one sits at the bottom of the stability order? 2 does.